Entry 1:
This record from Alexandria describes an optimized crystal structure of KRbSc2Cl8. The functional is PBE.

Structure (extended XYZ):
```
12
Lattice="7.177 0.000 0.000 3.589 6.216 0.000 3.589 2.072 9.350" Properties=species:S:1:pos:R:3 pbc="T T T"
K 0.000 0.000 0.000
Rb 7.177 4.144 4.675
Sc 3.589 2.072 2.484
Sc 10.766 6.216 6.866
Cl 3.589 2.072 4.812
Cl 5.820 2.373 1.787
Cl 10.766 6.216 4.538
Cl 9.389 3.854 1.787
Cl 4.965 4.433 7.562
Cl 6.322 6.205 1.787
Cl 8.032 2.083 7.562
Cl 8.534 5.915 7.562
```

Computed properties:
formation energy from raw total energies	-2.0284	eV per atom
uncorrected energy	-53.842	eV/cell

Entry 2:
This record from Alexandria describes an optimized crystal structure of KRbScCl2. The functional is PBE.

Structure (extended XYZ):
```
5
Lattice="5.241 0.000 0.000 0.000 7.439 0.000 0.000 0.000 5.241" Properties=species:S:1:pos:R:3 pbc="T T T"
Sc 0.000 0.000 0.000
K 0.000 3.720 0.000
Rb 2.621 3.720 2.621
Cl 0.000 0.000 2.621
Cl 2.621 0.000 0.000
```

Computed properties:
formation energy from raw total energies	-0.7858	eV per atom
uncorrected energy	-16.019	eV/cell

Entry 3:
This record from Alexandria describes an optimized crystal structure of KRb2ScCl6. The functional is PBE.

Structure (extended XYZ):
```
10
Lattice="-2.244 -6.713 -3.174 4.615 -3.629 -5.067 3.526 -6.609 2.007" Properties=species:S:1:pos:R:3 pbc="T T T"
Sc 0.000 0.000 0.000
K 2.948 -8.475 -3.117
Rb 4.422 -12.713 -4.676
Rb 1.475 -4.238 -1.559
Cl 3.263 -7.458 -0.326
Cl 5.777 -9.436 -3.086
Cl 2.041 -11.116 -2.056
Cl 0.120 -7.515 -3.148
Cl 3.856 -5.835 -4.179
Cl 2.634 -9.492 -5.908
```

Computed properties:
formation energy from raw total energies	-2.0477	eV per atom
uncorrected energy	-40.921	eV/cell

Entry 4:
This record from Alexandria describes an optimized crystal structure of KRbSe2Cl. The functional is PBE.

Structure (extended XYZ):
```
5
Lattice="-5.205 3.029 1.355 -2.629 -5.303 1.753 1.929 0.859 5.489" Properties=species:S:1:pos:R:3 pbc="T T T"
K 0.000 0.000 0.000
Se -1.315 -2.651 0.877
Se -2.603 1.515 0.678
Rb -2.953 -0.708 4.299
Cl 0.964 0.429 2.745
```

Computed properties:
formation energy from raw total energies	-0.3578	eV per atom
uncorrected energy	-12.670	eV/cell

Entry 5:
This record from Alexandria describes an optimized crystal structure of KRb2SeCl6. The functional is PBE.

Structure (extended XYZ):
```
20
Lattice="-1.269 3.417 6.945 -5.763 -2.587 4.648 6.048 -8.184 9.561" Properties=species:S:1:pos:R:3 pbc="T T T"
K -2.688 -1.463 9.087
K 1.703 -5.891 12.068
Rb -3.457 -2.775 14.020
Rb 2.472 -4.579 7.134
Rb -0.256 -6.002 16.193
Rb -0.729 -1.352 4.961
Se 0.000 0.000 0.000
Se -0.492 -3.677 10.577
Cl -0.921 -1.061 11.502
Cl -3.245 -4.165 10.314
Cl -0.265 -2.828 7.911
Cl -0.064 -6.293 9.653
Cl 2.260 -3.189 10.840
Cl -0.720 -4.526 13.244
Cl 3.416 -5.239 14.555
Cl 0.885 -8.620 13.261
Cl 4.131 -7.163 10.643
Cl -4.401 -2.115 6.600
Cl -1.870 1.266 7.893
Cl -5.116 -0.191 10.511
```

Computed properties:
formation energy from raw total energies	-1.1702	eV per atom
uncorrected energy	-58.598	eV/cell

Entry 6:
This record from Alexandria describes an optimized crystal structure of KRb2SeCl6. The functional is PBE.

Structure (extended XYZ):
```
10
Lattice="-4.591 -4.775 4.444 6.366 -4.466 1.777 1.847 -1.542 7.411" Properties=species:S:1:pos:R:3 pbc="T T T"
K 0.887 -4.621 3.110
Se 0.000 0.000 0.000
Rb -0.928 -5.469 7.482
Rb 4.550 -5.315 6.149
Cl 1.420 -2.912 5.497
Cl 2.202 -7.871 8.135
Cl 0.419 -2.181 1.468
Cl 1.356 -7.061 4.753
Cl -2.005 -4.702 3.814
Cl 3.780 -4.539 2.407
```

Computed properties:
formation energy from raw total energies	-1.1715	eV per atom
uncorrected energy	-29.312	eV/cell

Entry 7:
This record from Alexandria describes an optimized crystal structure of KRb2SmCl6. The functional is PBE.

Structure (extended XYZ):
```
10
Lattice="8.049 0.000 0.000 4.024 6.969 0.000 4.024 2.324 6.570" Properties=species:S:1:pos:R:3 pbc="T T T"
K 8.049 4.646 3.285
Rb 12.073 6.969 4.927
Rb 4.024 2.324 1.643
Sm 8.049 9.293 6.570
Cl 5.929 3.424 5.014
Cl 8.049 7.093 5.015
Cl 10.168 3.424 5.014
Cl 8.048 2.200 1.555
Cl 5.929 5.869 1.555
Cl 10.168 5.869 1.555
```

Computed properties:
formation energy from raw total energies	-2.0893	eV per atom
uncorrected energy	-39.725	eV/cell

Entry 8:
This record from Alexandria describes an optimized crystal structure of K2RbSmCl6. The functional is PBE.

Structure (extended XYZ):
```
10
Lattice="-2.762 6.776 2.774 -7.717 1.089 0.693 -3.278 0.107 7.518" Properties=species:S:1:pos:R:3 pbc="T T T"
K -6.897 4.200 4.950
K -3.289 0.244 7.170
Rb -10.358 6.443 7.064
Sm -3.486 2.537 1.371
Cl -4.033 4.108 3.523
Cl -8.914 2.564 3.077
Cl -7.859 7.254 4.897
Cl -8.899 3.588 7.462
Cl -5.471 4.810 7.830
Cl -6.085 1.450 6.522
```

Computed properties:
formation energy from raw total energies	-2.1200	eV per atom
uncorrected energy	-40.162	eV/cell

Entry 9:
This record from Alexandria describes an optimized crystal structure of KRb2SnCl5. The functional is PBE.

Structure (extended XYZ):
```
18
Lattice="4.803 0.000 0.000 -2.402 9.467 0.000 0.000 0.000 13.775" Properties=species:S:1:pos:R:3 pbc="T T T"
K 2.402 5.349 7.121
K 0.000 4.119 0.234
Rb 2.402 6.733 10.962
Rb 0.000 2.079 9.441
Rb 0.000 2.734 4.074
Rb 2.402 7.389 2.553
Sn 2.402 0.597 13.179
Sn 0.000 8.871 6.292
Cl 0.000 7.236 13.730
Cl 2.402 3.193 12.058
Cl 0.000 9.291 10.625
Cl 0.000 5.297 9.175
Cl 2.402 8.481 7.709
Cl 2.402 2.232 6.842
Cl 0.000 6.275 5.171
Cl 2.402 0.176 3.738
Cl 2.402 4.170 2.288
Cl 0.000 0.986 0.822
```

Computed properties:
formation energy from raw total energies	-1.6198	eV per atom
uncorrected energy	-61.694	eV/cell

Entry 10:
This record from Alexandria describes an optimized crystal structure of K4Rb3SnCl8. The functional is PBE.

Structure (extended XYZ):
```
16
Lattice="9.065 0.000 0.000 0.000 9.014 0.110 -4.533 -4.413 6.808" Properties=species:S:1:pos:R:3 pbc="T T T"
K 4.533 0.000 0.000
K 2.266 -2.206 3.404
K 0.000 0.000 0.000
K -2.266 -2.206 3.404
Rb 4.533 4.507 0.055
Rb 2.266 2.301 3.459
Rb -2.266 2.301 3.459
Sn 0.000 4.507 0.055
Cl 2.083 6.653 0.148
Cl 0.000 4.648 3.966
Cl 0.000 -0.029 3.382
Cl 6.982 6.653 0.148
Cl -2.450 -2.051 6.770
Cl 4.533 4.631 3.535
Cl 4.533 -0.047 2.952
Cl 2.450 -2.051 6.770
```

Computed properties:
formation energy from raw total energies	-1.7095	eV per atom
uncorrected energy	-53.421	eV/cell

Entry 11:
This record from Alexandria describes an optimized crystal structure of K2RbSn2Cl7. The functional is PBE.

Structure (extended XYZ):
```
12
Lattice="5.645 0.000 0.000 0.000 6.218 0.000 -2.823 -3.109 12.409" Properties=species:S:1:pos:R:3 pbc="T T T"
K 0.000 3.346 6.887
K 2.823 0.237 5.521
Rb 0.000 0.585 0.000
Sn 0.000 0.063 9.702
Sn 2.823 3.172 2.706
Cl 0.000 2.619 10.010
Cl 2.823 3.371 5.646
Cl 0.000 2.980 2.685
Cl 2.823 -0.490 2.398
Cl 0.000 0.262 6.762
Cl 2.823 -0.129 9.724
Cl 2.823 2.635 0.000
```

Computed properties:
formation energy from raw total energies	-1.4797	eV per atom
uncorrected energy	-41.851	eV/cell

Entry 12:
This record from Alexandria describes an optimized crystal structure of K2RbSnCl5. The functional is PBE.

Structure (extended XYZ):
```
18
Lattice="4.704 0.000 0.000 -2.352 10.351 0.000 0.000 0.000 12.544" Properties=species:S:1:pos:R:3 pbc="T T T"
K 2.352 7.679 9.943
K 0.000 2.454 8.595
K 0.000 2.673 3.671
K 2.352 7.897 2.323
Rb 2.352 5.712 6.328
Rb 0.000 4.639 0.056
Sn 2.352 0.592 12.045
Sn 0.000 9.759 5.773
Cl 0.000 7.868 0.006
Cl 2.352 3.017 10.861
Cl 0.000 10.119 9.514
Cl 0.000 5.704 8.774
Cl 2.352 8.930 6.990
Cl 2.352 2.483 6.278
Cl 0.000 7.335 4.589
Cl 2.352 0.232 3.242
Cl 2.352 4.647 2.502
Cl 0.000 1.421 0.718
```

Computed properties:
formation energy from raw total energies	-1.5989	eV per atom
uncorrected energy	-61.577	eV/cell